The following is a GGA-PBE calculation of an optimized crystal structure of ZrSn, from Alexandria.

Properties
- Symmetry: No. 59
- Raw total energy: -6.639 eV/atom
- Energy of formation: -0.363 eV/atom

a b c (Å): 5.275 3.171 16.529
angles (deg): 90.00 90.00 90.00
Fractional coordinates of all 12 atoms:
Zr: 0.000 0.133 0.665
Zr: 0.500 0.867 0.835
Zr: 0.500 0.867 0.165
Zr: 0.000 0.133 0.335
Zr: 0.000 0.805 0.000
Zr: 0.500 0.195 0.500
Sn: 0.000 0.374 0.837
Sn: 0.500 0.626 0.663
Sn: 0.500 0.626 0.337
Sn: 0.000 0.374 0.163
Sn: 0.000 0.684 0.500
Sn: 0.500 0.316 0.000